! AgRuBr2 (PBE, optimized geometry); values from VASP
&SYSTEM
  ibrav = 0, nat = 8, ntyp = 3
/
ATOMIC_SPECIES
Ag 107.87 Ag.upf
Ru 101.07 Ru.upf
Br 79.90 Br.upf
CELL_PARAMETERS angstrom
-2.982 2.982 6.130
2.982 -2.982 6.130
2.982 2.982 -6.130
ATOMIC_POSITIONS crystal
Ag 0.000 0.000 0.000
Ag 0.750 0.250 0.500
Ru 0.250 0.750 0.500
Ru 0.500 0.500 0.000
Br 0.167 0.625 0.042
Br 0.375 0.417 0.542
Br 0.583 0.125 0.958
Br 0.875 0.833 0.458
! D(E_F): 1.303 states/eV per atom
! Volume: 27.3 A^3/atom
! Offset from the most stable computed form: 125 kJ/mol of formula units
! Raw formation energy: 0.5061 eV/atom
! Raw total energy: -3.362 eV per atom

=====

! AgRuBr2 (PBE, optimized geometry); values from VASP
&SYSTEM
  ibrav = 0, nat = 4, ntyp = 3
/
ATOMIC_SPECIES
Ag 107.87 Ag.upf
Ru 101.07 Ru.upf
Br 79.90 Br.upf
CELL_PARAMETERS angstrom
-1.652 2.391 6.691
1.652 -2.391 6.691
1.652 2.391 -6.691
ATOMIC_POSITIONS crystal
Ag 0.000 0.000 0.000
Ru 0.500 0.500 0.000
Br 0.358 0.858 0.500
Br 0.642 0.142 0.500
! D(E_F): 0.676 states/eV per atom
! Volume: 26.4 A^3/atom
! Offset from the most stable computed form: 0 kJ/mol of formula units
! Raw formation energy: 0.1813 eV/atom
! Raw total energy: -3.687 eV per atom

=====

! AgRuBr (PBE, optimized geometry); values from VASP
&SYSTEM
  ibrav = 0, nat = 3, ntyp = 3
/
ATOMIC_SPECIES
Ag 107.87 Ag.upf
Ru 101.07 Ru.upf
Br 79.90 Br.upf
CELL_PARAMETERS angstrom
0.000 3.169 3.169
3.169 0.000 3.169
3.169 3.169 0.000
ATOMIC_POSITIONS crystal
Ag 0.000 0.000 0.000
Ru 0.750 0.750 0.750
Br 0.500 0.500 0.500
! D(E_F): 0.467 states/eV per atom
! Volume: 21.2 A^3/atom
! Offset from the most stable computed form: 83 kJ/mol of formula units
! Raw formation energy: 0.8810 eV/atom
! Raw total energy: -3.719 eV per atom

=====

! AgRuBr2 (PBE, optimized geometry); values from VASP
&SYSTEM
  ibrav = 0, nat = 4, ntyp = 3
/
ATOMIC_SPECIES
Ag 107.87 Ag.upf
Ru 101.07 Ru.upf
Br 79.90 Br.upf
CELL_PARAMETERS angstrom
3.501 0.000 0.000
0.000 4.098 0.000
0.000 0.000 6.648
ATOMIC_POSITIONS crystal
Ag 0.000 0.000 0.000
Ru 0.500 0.000 0.500
Br 0.000 0.500 0.500
Br 0.500 0.500 0.000
! D(E_F): 0.971 states/eV per atom
! Volume: 23.8 A^3/atom
! Offset from the most stable computed form: 156 kJ/mol of formula units
! Raw formation energy: 0.5857 eV/atom
! Raw total energy: -3.282 eV per atom